No. 1
Material: SrHg2Br
Method: DFT, GGA-PBE
State: optimized geometry

Lattice parameters (Å, degrees): 4.4781 4.4781 12.2215 90.00 90.00 90.00
With the nearest neighbours (Å) after each atom.
Space group I4/mmm (No. 139)
Unique sites:
Sr 0.0000 0.0000 0.0000 x2  4 Br 3.17
Hg 0.0000 0.5000 0.2500 x4  4 Hg 3.17
Br 0.0000 0.0000 0.5000 x2  4 Sr 3.17

=====

No. 2
Material: Sr2Hg2Br
Method: DFT, GGA-PBE
State: optimized geometry

Lattice parameters (Å, degrees): 8.9306 8.9306 4.2347 90.00 90.00 90.00
With the nearest neighbours (Å) after each atom.
Space group P4/mbm (No. 127)
Unique sites:
Sr 0.1751 0.3249 0.0000 x4  6 Hg 3.33-3.42
Hg 0.1212 0.6212 0.5000 x4  1 Hg 3.06, 6 Sr 3.33-3.42
Br 0.0000 0.0000 0.5000 x2  4 Hg 3.55, 8 Sr 3.92

=====

Number 1: formation energy without anion corrections -0.82 eV/atom, calculated volume 245.1 Å³ per cell. Number 2: formation energy without anion corrections -0.72 eV/atom, calculated volume 337.7 Å³ per cell.